Entry 1:
Sm12AlNi6 after structural relaxation. Source: the Alexandria database, functional PBE.

Results
* M_tot: 0.00 μB per formula unit
* DFT formation energy: -0.28 eV per atom
* electronic total energy: -100.345 eV for the cell shown

```
19
Lattice="-5.110 4.183 -5.456 -4.771 -4.621 5.409 4.679 5.645 4.429" Properties=species:S:1:pos:R:3 pbc="T T T"
Ni -0.209 4.220 4.531
Ni -4.994 0.987 -0.150
Ni -0.227 5.040 0.693
Ni -3.944 4.749 -0.531
Ni -1.259 0.458 4.913
Ni -4.976 0.167 3.688
Sm -5.094 3.072 1.584
Sm -3.069 -1.555 5.106
Sm -2.184 5.150 2.571
Sm -1.964 2.904 -0.321
Sm -3.238 2.303 4.703
Sm -0.144 2.537 6.659
Sm -6.897 -0.115 1.793
Sm -3.019 0.057 1.811
Sm -0.108 2.135 2.798
Sm 1.695 5.322 2.589
Sm -2.134 6.762 -0.724
Sm -5.058 2.670 -2.277
Al 0.000 0.000 0.000
```



Entry 2:
TcCl2O2 after structural relaxation. Source: the Alexandria database, functional PBE.

Results
* uncorrected formation energy: -0.923 eV per atom
* M_tot: 1.01 μB per formula unit
* electronic total energy: -57.183 eV for the cell shown

```
10
Lattice="4.536 0.428 -3.122 -1.944 9.064 -3.097 -1.100 -1.785 8.833" Properties=species:S:1:pos:R:3 pbc="T T T"
O 4.029 1.443 -1.943
O 0.680 2.390 -1.105
O -2.538 6.264 4.557
O 0.811 5.316 3.718
Tc 3.879 2.588 -3.198
Tc -2.388 5.119 5.812
Cl 2.757 3.563 1.843
Cl 0.967 0.362 4.399
Cl 0.524 7.344 -1.786
Cl -1.266 4.143 0.770
```



Entry 3:
SrLa2SnBi after structural relaxation. Source: the Alexandria database, functional PBE.

Results
* M_tot: 0.00 μB per formula unit
* DFT formation energy: -0.24 eV per atom
* electronic total energy: -20.616 eV for the cell shown

```
5
Lattice="6.092 0.000 0.000 0.000 6.139 0.000 0.000 0.000 6.092" Properties=species:S:1:pos:R:3 pbc="T T T"
Sr 0.000 3.069 0.000
Bi 3.046 3.069 3.046
Sn 0.000 0.000 0.000
La 0.000 0.000 3.046
La 3.046 0.000 0.000
```